This record from Alexandria via LeMat-Bulk describes Sm5YHo2Sc after structural relaxation. The functional is PBE-GGA.

Summary:
Theoretical density = 6.85 g cm⁻³
DFT total energy = -4.928 eV/atom
Magnetization = 0.000 μB per cell
Symmetry = Cmcm (63)

The structure in POSCAR format:
```
Sm5YHo2Sc
1.0
5.332 0.000 0.000
-2.666 10.909 0.000
0.000 0.000 10.134
Sm Y Ho Sc
10 2 4 2
direct
0.374 0.748 0.008 Sm
0.721 0.442 0.820 Sm
0.500 0.000 0.758 Sm
0.279 0.558 0.696 Sm
0.002 0.003 0.508 Sm
0.626 0.252 0.508 Sm
0.279 0.558 0.320 Sm
0.500 0.000 0.258 Sm
0.721 0.442 0.196 Sm
0.998 0.997 0.008 Sm
0.601 0.202 0.008 Y
0.399 0.798 0.508 Y
0.884 0.767 0.758 Ho
0.116 0.232 0.759 Ho
0.116 0.233 0.258 Ho
0.884 0.768 0.259 Ho
0.785 0.569 0.508 Sc
0.215 0.431 0.008 Sc
```